The following is a DFT calculation (GGA-PBE) of Cs2Li2In after structural relaxation.

Cell: 8.174 8.174 6.522 Å, 90.00 90.00 90.00°
Positions (direct):
Cs1 0.321 0.821 0.500
Cs2 0.821 0.679 0.500
Cs3 0.679 0.179 0.500
Cs4 0.179 0.321 0.500
Li1 0.182 0.682 0.000
Li2 0.682 0.818 0.000
Li3 0.318 0.182 0.000
Li4 0.818 0.318 0.000
In1 0.000 0.000 0.000
In2 0.500 0.500 0.000

DFT formation energy = 118 meV per atom
magnetization = 0.12 μB/atom
space-group type = P4/mbm, No. 127

=====

The following is a DFT calculation (GGA-PBE) of CsLi2In2 after structural relaxation.

Cell: 9.131 9.131 3.417 Å, 90.00 90.00 90.00°
Positions (direct):
In1 0.883 0.383 0.500
In2 0.617 0.883 0.500
In3 0.117 0.617 0.500
In4 0.383 0.117 0.500
Cs1 0.500 0.500 0.000
Cs2 0.000 0.000 0.000
Li1 0.664 0.164 0.000
Li2 0.164 0.336 0.000
Li3 0.836 0.664 0.000
Li4 0.336 0.836 0.000

DFT formation energy = -71 meV per atom
energy relative to the lowest polymorph listed for this composition = 0 meV per atom
magnetization = 0.00 μB/atom
space-group type = P4/mbm, No. 127

=====

The following is a DFT calculation (GGA-PBE) of CsLiIn4 after structural relaxation.

Cell: 6.445 6.445 6.445 Å, 60.00 60.00 60.00°
Positions (direct):
Li1 0.000 0.000 0.000
In1 0.123 0.626 0.626
In2 0.626 0.123 0.626
In3 0.626 0.626 0.626
In4 0.626 0.626 0.123
Cs1 0.250 0.250 0.250

DFT formation energy = -6 meV per atom
magnetization = 0.00 μB/atom
space-group type = F-43m, No. 216

=====

The following is a DFT calculation (GGA-PBE) of Cs2LiIn2 after structural relaxation.

Cell: 8.136 8.136 6.596 Å, 90.00 90.00 90.00°
Positions (direct):
Cs1 0.185 0.685 0.500
Cs2 0.315 0.185 0.500
Cs3 0.815 0.315 0.500
Cs4 0.685 0.815 0.500
Li1 0.500 0.500 0.000
Li2 0.000 0.000 0.000
In1 0.127 0.373 0.000
In2 0.873 0.627 0.000
In3 0.627 0.127 0.000
In4 0.373 0.873 0.000

DFT formation energy = 68 meV per atom
magnetization = 0.00 μB/atom
space-group type = P4/mbm, No. 127